Below is KSiPCO7 after structural relaxation, with properties calculated at the GGA-PBEsol level.

The structure in CIF format:
```
data_KSiPCO7
_cell_length_a 4.892
_cell_length_b 5.957
_cell_length_c 9.310
_cell_angle_alpha 90.00
_cell_angle_beta 98.83
_cell_angle_gamma 90.00
_space_group_name_H-M_alt 'P 1 21 1'
_space_group_IT_number 4
loop_
_space_group_symop_operation_xyz
'x,y,z'
'-x,y+1/2,-z'
loop_
_atom_site_label
_atom_site_type_symbol
_atom_site_fract_x
_atom_site_fract_y
_atom_site_fract_z
K1 K 0.093 0.000 0.151
Si1 Si 0.276 0.935 0.655
P1 P 0.293 0.434 0.559
C1 C 0.461 0.935 0.893
O1 O 0.066 0.433 0.427
O2 O 0.191 0.934 0.840
O3 O 0.271 0.233 0.659
O4 O 0.271 0.636 0.659
O5 O 0.402 0.433 0.220
O6 O 0.422 0.935 0.493
O7 O 0.437 0.437 0.977
```

ρ in g/cm³: 2.75
Final energy in eV/atom: -7.51
N(E_F) in states/eV/f.u.: 0.00
E_form (uncorrected) in eV per atom: -2.1416
Total moment in μB per formula unit: 0.00



Below is PaN after structural relaxation, with properties calculated at the GGA-PBEsol level.

The structure in CIF format:
```
data_PaN
_cell_length_a 4.906
_cell_length_b 4.906
_cell_length_c 4.906
_cell_angle_alpha 90.00
_cell_angle_beta 90.00
_cell_angle_gamma 90.00
_space_group_name_H-M_alt 'F m -3 m'
_space_group_IT_number 225
_space_group_name_Hall '-F 4 2 3'
loop_
_atom_site_label
_atom_site_type_symbol
_atom_site_fract_x
_atom_site_fract_y
_atom_site_fract_z
Pa1 Pa 0.000 0.000 0.000
N1 N 0.000 0.000 0.500
```

ρ in g/cm³: 13.79
Final energy in eV/atom: -11.19
N(E_F) in states/eV/f.u.: 1.23
E_form (uncorrected) in eV per atom: -1.8070
Total moment in μB per formula unit: 0.00



Below is Sc2H2Au after structural relaxation, with properties calculated at the GGA-PBEsol level.

The structure in CIF format:
```
data_Sc2H2Au
_cell_length_a 3.354
_cell_length_b 3.354
_cell_length_c 11.262
_cell_angle_alpha 90.00
_cell_angle_beta 90.00
_cell_angle_gamma 90.00
_space_group_name_H-M_alt 'I 4/m m m'
_space_group_IT_number 139
_space_group_name_Hall '-I 4 2'
loop_
_atom_site_label
_atom_site_type_symbol
_atom_site_fract_x
_atom_site_fract_y
_atom_site_fract_z
Sc1 Sc 0.000 0.000 0.149
H1 H 0.000 0.500 0.250
Au1 Au 0.000 0.000 0.500
```

ρ in g/cm³: 7.58
Final energy in eV/atom: -5.53
N(E_F) in states/eV/f.u.: 2.53
Total moment in μB per formula unit: 0.00



Below is YFeOs2 after structural relaxation, with properties calculated at the GGA-PBEsol level.

The structure in CIF format:
```
data_YFeOs2
_cell_length_a 6.302
_cell_length_b 6.302
_cell_length_c 6.302
_cell_angle_alpha 90.00
_cell_angle_beta 90.00
_cell_angle_gamma 90.00
_space_group_name_H-M_alt 'F -4 3 m'
_space_group_IT_number 216
_space_group_name_Hall 'F -4 2 3'
loop_
_atom_site_label
_atom_site_type_symbol
_atom_site_fract_x
_atom_site_fract_y
_atom_site_fract_z
Y1 Y 0.000 0.000 0.000
Fe1 Fe 0.250 0.250 0.250
Os1 Os 0.000 0.000 0.500
Os2 Os 0.250 0.250 0.750
```

ρ in g/cm³: 13.94
Final energy in eV/atom: -9.68
Formation energy from the elements in eV/atom: 0.37
N(E_F) in states/eV/f.u.: 3.12
Total moment in μB per formula unit: 2.92



Below is Ca4ErB3O10 after structural relaxation, with properties calculated at the GGA-PBEsol level.

The structure in CIF format:
```
data_Ca4ErB3O10
_cell_length_a 8.029
_cell_length_b 15.915
_cell_length_c 3.489
_cell_angle_alpha 90.00
_cell_angle_beta 101.04
_cell_angle_gamma 90.00
_space_group_name_H-M_alt 'C 1 m 1'
_space_group_IT_number 8
loop_
_space_group_symop_operation_xyz
'x,y,z'
'x,-y,z'
'x+1/2,y+1/2,z'
'x+1/2,-y+1/2,z'
loop_
_atom_site_label
_atom_site_type_symbol
_atom_site_fract_x
_atom_site_fract_y
_atom_site_fract_z
Ca1 Ca 0.000 0.112 0.000
Ca2 Ca 0.119 0.317 0.324
Er1 Er 0.362 0.000 0.677
B1 B 0.230 0.500 0.372
B2 B 0.307 0.194 0.753
O1 O 0.054 0.500 0.274
O2 O 0.147 0.174 0.555
O3 O 0.192 0.000 0.099
O4 O 0.317 0.425 0.420
O5 O 0.331 0.268 0.955
O6 O 0.443 0.139 0.747
```

ρ in g/cm³: 3.95
Final energy in eV/atom: -7.86
N(E_F) in states/eV/f.u.: 0.00
E_form (uncorrected) in eV per atom: -3.0311
Total moment in μB per formula unit: 0.00



Below is Na2Cu4S3 after structural relaxation, with properties calculated at the GGA-PBEsol level.

The structure in CIF format:
```
data_Na2Cu4S3
_cell_length_a 15.885
_cell_length_b 3.757
_cell_length_c 10.100
_cell_angle_alpha 90.00
_cell_angle_beta 108.04
_cell_angle_gamma 90.00
_space_group_name_H-M_alt 'C 1 2/m 1'
_space_group_IT_number 12
loop_
_space_group_symop_operation_xyz
'x,y,z'
'-x,-y,-z'
'-x,y,-z'
'x,-y,z'
'x+1/2,y+1/2,z'
'-x+1/2,-y+1/2,-z'
'-x+1/2,y+1/2,-z'
'x+1/2,-y+1/2,z'
loop_
_atom_site_label
_atom_site_type_symbol
_atom_site_fract_x
_atom_site_fract_y
_atom_site_fract_z
Na1 Na 0.168 0.000 0.341
Na2 Na 0.187 0.500 0.843
Cu1 Cu 0.017 0.500 0.383
Cu2 Cu 0.024 0.500 0.133
Cu3 Cu 0.085 0.000 0.585
Cu4 Cu 0.089 0.000 0.008
S1 S 0.027 0.000 0.771
S2 S 0.150 0.500 0.546
S3 S 0.164 0.500 0.113
```

ρ in g/cm³: 4.59
Final energy in eV/atom: -4.23
N(E_F) in states/eV/f.u.: 0.30
E_form (uncorrected) in eV per atom: -0.5273
Total moment in μB per formula unit: 0.00



Below is KPtW3 after structural relaxation, with properties calculated at the GGA-PBEsol level.

The structure in CIF format:
```
data_KPtW3
_cell_length_a 4.374
_cell_length_b 4.374
_cell_length_c 4.374
_cell_angle_alpha 90.00
_cell_angle_beta 90.00
_cell_angle_gamma 90.00
_space_group_name_H-M_alt 'P m -3 m'
_space_group_IT_number 221
_space_group_name_Hall '-P 4 2 3'
loop_
_atom_site_label
_atom_site_type_symbol
_atom_site_fract_x
_atom_site_fract_y
_atom_site_fract_z
K1 K 0.000 0.000 0.000
Pt1 Pt 0.500 0.500 0.500
W1 W 0.000 0.000 0.500
```

ρ in g/cm³: 15.59
Final energy in eV/atom: -6.48
Formation energy from the elements in eV/atom: 3.42
N(E_F) in states/eV/f.u.: 3.48
Total moment in μB per formula unit: 0.00



Below is KBaPb2 after structural relaxation, with properties calculated at the GGA-PBEsol level.

The structure in CIF format:
```
data_KBaPb2
_cell_length_a 4.593
_cell_length_b 5.731
_cell_length_c 10.954
_cell_angle_alpha 90.00
_cell_angle_beta 90.00
_cell_angle_gamma 90.00
_space_group_name_H-M_alt 'I m m 2'
_space_group_IT_number 44
loop_
_space_group_symop_operation_xyz
'x,y,z'
'-x,-y,z'
'-x,y,z'
'x,-y,z'
'x+1/2,y+1/2,z+1/2'
'-x+1/2,-y+1/2,z+1/2'
'-x+1/2,y+1/2,z+1/2'
'x+1/2,-y+1/2,z+1/2'
loop_
_atom_site_label
_atom_site_type_symbol
_atom_site_fract_x
_atom_site_fract_y
_atom_site_fract_z
K1 K 0.000 0.000 0.000
Ba1 Ba 0.000 0.500 0.208
Pb1 Pb 0.000 0.000 0.453
Pb2 Pb 0.000 0.500 0.771
```

ρ in g/cm³: 6.81
Final energy in eV/atom: -3.16
Formation energy from the elements in eV/atom: -0.34
N(E_F) in states/eV/f.u.: 1.88
Total moment in μB per formula unit: 0.00



Below is Ta3MnBr after structural relaxation, with properties calculated at the GGA-PBEsol level.

The structure in CIF format:
```
data_Ta3MnBr
_cell_length_a 4.657
_cell_length_b 4.657
_cell_length_c 4.657
_cell_angle_alpha 90.00
_cell_angle_beta 90.00
_cell_angle_gamma 90.00
_space_group_name_H-M_alt 'P m -3 m'
_space_group_IT_number 221
_space_group_name_Hall '-P 4 2 3'
loop_
_atom_site_label
_atom_site_type_symbol
_atom_site_fract_x
_atom_site_fract_y
_atom_site_fract_z
Ta1 Ta 0.000 0.000 0.500
Mn1 Mn 0.500 0.500 0.500
Br1 Br 0.000 0.000 0.000
```

ρ in g/cm³: 11.15
Final energy in eV/atom: -8.23
N(E_F) in states/eV/f.u.: 5.96
E_form (uncorrected) in eV per atom: 1.6240
Total moment in μB per formula unit: 3.36



Below is AgAsPt2 after structural relaxation, with properties calculated at the GGA-PBEsol level.

The structure in CIF format:
```
data_AgAsPt2
_cell_length_a 2.928
_cell_length_b 4.600
_cell_length_c 9.478
_cell_angle_alpha 90.00
_cell_angle_beta 90.00
_cell_angle_gamma 90.00
_space_group_name_H-M_alt 'I m m 2'
_space_group_IT_number 44
loop_
_space_group_symop_operation_xyz
'x,y,z'
'-x,-y,z'
'-x,y,z'
'x,-y,z'
'x+1/2,y+1/2,z+1/2'
'-x+1/2,-y+1/2,z+1/2'
'-x+1/2,y+1/2,z+1/2'
'x+1/2,-y+1/2,z+1/2'
loop_
_atom_site_label
_atom_site_type_symbol
_atom_site_fract_x
_atom_site_fract_y
_atom_site_fract_z
Ag1 Ag 0.000 0.000 0.000
As1 As 0.000 0.500 0.759
Pt1 Pt 0.000 0.000 0.470
Pt2 Pt 0.000 0.500 0.226
```

ρ in g/cm³: 14.91
Final energy in eV/atom: -5.60
Formation energy from the elements in eV/atom: -0.02
N(E_F) in states/eV/f.u.: 1.72
Total moment in μB per formula unit: 0.00



Below is TiMnCoPt2 after structural relaxation, with properties calculated at the GGA-PBEsol level.

The structure in CIF format:
```
data_TiMnCoPt2
_cell_length_a 4.582
_cell_length_b 4.582
_cell_length_c 4.215
_cell_angle_alpha 90.00
_cell_angle_beta 90.00
_cell_angle_gamma 90.00
_space_group_name_H-M_alt 'P 4/m m m'
_space_group_IT_number 123
_space_group_name_Hall '-P 4 2'
loop_
_atom_site_label
_atom_site_type_symbol
_atom_site_fract_x
_atom_site_fract_y
_atom_site_fract_z
Ti1 Ti 0.000 0.000 0.000
Mn1 Mn 0.000 0.000 0.500
Co1 Co 0.500 0.500 0.500
Pt1 Pt 0.000 0.500 0.000
```

ρ in g/cm³: 10.36
Final energy in eV/atom: -6.78
Formation energy from the elements in eV/atom: 1.17
N(E_F) in states/eV/f.u.: 5.99
Total moment in μB per formula unit: 4.62



Below is LaCoSi after structural relaxation, with properties calculated at the GGA-PBEsol level.

The structure in CIF format:
```
data_LaCoSi
_cell_length_a 3.988
_cell_length_b 3.988
_cell_length_c 7.184
_cell_angle_alpha 90.00
_cell_angle_beta 90.00
_cell_angle_gamma 90.00
_space_group_name_H-M_alt 'P 4/n m m'
_space_group_IT_number 129
loop_
_space_group_symop_operation_xyz
'x,y,z'
'-x,-y,-z'
'-y+1/2,x,z'
'y+1/2,-x,-z'
'-x+1/2,-y+1/2,z'
'x+1/2,y+1/2,-z'
'y,-x+1/2,z'
'-y,x+1/2,-z'
'x+1/2,-y,-z'
'-x+1/2,y,z'
'-y,-x,-z'
'y,x,z'
'-x,y+1/2,-z'
'x,-y+1/2,z'
'y+1/2,x+1/2,-z'
'-y+1/2,-x+1/2,z'
loop_
_atom_site_label
_atom_site_type_symbol
_atom_site_fract_x
_atom_site_fract_y
_atom_site_fract_z
La1 La 0.250 0.250 0.186
Co1 Co 0.250 0.750 0.500
Si1 Si 0.250 0.250 0.661
```

ρ in g/cm³: 6.57
Final energy in eV/atom: -7.00
N(E_F) in states/eV/f.u.: 1.54
E_form (uncorrected) in eV per atom: -0.7275
Total moment in μB per formula unit: 0.28